ZnSb2As after structural relaxation, computed with PBE-GGA.

Unit cell a=7.7520 b=7.7520 c=7.7520 alpha=132.72 beta=132.72 gamma=69.09
Fractional positions:
Zn 0.0000 0.0000 0.0000
Zn 0.7500 0.2500 0.5000
Sb 0.1082 0.6250 0.9832
Sb 0.3750 0.3582 0.4832
Sb 0.6418 0.1250 0.0168
Sb 0.8750 0.8918 0.5168
As 0.2500 0.7500 0.5000
As 0.5000 0.5000 0.0000

---

Zn2SbAs after structural relaxation, computed with PBE-GGA.

Unit cell a=4.7838 b=4.7838 c=4.3193 alpha=105.41 beta=105.41 gamma=106.57
Fractional positions:
Zn 0.0000 0.5000 0.0000
Zn 0.5000 0.0000 0.0000
Sb 0.0000 0.0000 0.5000
As 0.5000 0.5000 0.5000

---

Zn2SbAs after structural relaxation, computed with PBE-GGA.

Unit cell a=4.8594 b=4.8594 c=3.3910 alpha=90.00 beta=90.00 gamma=90.00
Fractional positions:
Zn 0.0000 0.5000 0.0000
Zn 0.5000 0.0000 0.0000
Sb 0.0000 0.0000 0.5000
As 0.5000 0.5000 0.5000

---

The following energy above the most stable polymorph in this dataset values (in eV per atom) correspond, in order, to the records above: 0.0481; 0.1114; 0.2414.
The following raw formation energy values (in eV/atom) correspond, in order, to the records above: 0.1134; 0.1450; 0.2750.